1.
VASP calculation (PBE) on a geometry-optimized TmGeTeAuSe2 structure.

Cell: 3.975 13.856 11.030 Å, 90.00 90.00 90.00°
Space group Cmcm (No. 63)
Unique sites:
Tm 0.000 0.000 0.000 x4
Ge 0.000 0.182 0.250 x4
Te 0.000 0.111 0.750 x4
Au 0.000 0.471 0.750 x4
Se 0.000 0.358 0.557 x8

Properties
Its crystal system is orthorhombic. The final energy is -4.421 eV per atom.

---

2.
VASP calculation (PBE) on a geometry-optimized YGeTeAuSe2 structure.

Cell: 3.992 13.832 11.112 Å, 90.00 90.00 90.00°
Space group Cmcm (No. 63)
Unique sites:
Y 0.000 0.000 0.000 x4
Ge 0.000 0.188 0.250 x4
Te 0.000 0.112 0.750 x4
Au 0.000 0.470 0.750 x4
Se 0.000 0.355 0.560 x8

Properties
Its crystal system is orthorhombic. The final energy is -4.775 eV per atom.

---

3.
VASP calculation (PBE) on a geometry-optimized YGeTe2AuSe structure.

Cell: 4.155 14.538 10.360 Å, 90.00 90.00 90.00°
Space group Cmcm (No. 63)
Unique sites:
Y 0.000 0.000 0.000 x4
Ge 0.000 0.240 0.250 x4
Te 0.000 0.343 0.562 x8
Au 0.000 0.479 0.750 x4
Se 0.000 0.096 0.750 x4

Properties
Its crystal system is orthorhombic. The final energy is -4.609 eV per atom.

---

4.
VASP calculation (PBE) on a geometry-optimized TlGeAu3Se4 structure.

Cell: 6.340 6.340 6.340 Å, 90.00 90.00 90.00°
Space group P-43m (No. 215)
Unique sites:
Tl 0.000 0.000 0.000 x1
Ge 0.500 0.500 0.500 x1
Au 0.000 0.500 0.500 x3
Se 0.265 0.265 0.265 x4

Properties
Its crystal system is cubic. The final energy is -3.391 eV per atom. The offset from the most stable computed form is 140 meV per atom.

---

5.
VASP calculation (PBE) on a geometry-optimized TlGeAuSe3 structure.

Cell: 3.872 13.936 10.905 Å, 90.00 90.00 90.00°
Space group Cmcm (No. 63)
Unique sites:
Tl 0.000 0.205 0.250 x4
Ge 0.000 0.500 0.000 x4
Au 0.000 0.128 0.750 x4
Se 0.000 0.133 0.522 x8
Se 0.000 0.469 0.750 x4

Properties
Its crystal system is orthorhombic. The final energy is -3.600 eV per atom.

---

6.
VASP calculation (PBE) on a geometry-optimized TlGeAu3Se4 structure.

Cell: 6.442 7.572 10.528 Å, 90.00 101.69 90.00°
Space group P2_1/m (No. 11)
Unique sites:
Tl 0.195 0.250 0.395 x2
Ge 0.084 0.250 0.778 x2
Au 0.368 0.555 0.090 x4
Au 0.499 0.750 0.347 x2
Se 0.046 0.750 0.018 x2
Se 0.160 0.750 0.426 x2
Se 0.291 0.513 0.758 x4

Properties
Its crystal system is monoclinic. The final energy is -3.531 eV per atom. The offset from the most stable computed form is 0 meV per atom.

---

7.
VASP calculation (PBE) on a geometry-optimized Si2GeAu structure.

Cell: 6.529 6.529 6.529 Å, 90.00 90.00 90.00°
Space group F-43m (No. 216)
Unique sites:
Si 0.000 0.000 0.000 x4
Si 0.250 0.250 0.250 x4
Ge 0.000 0.000 0.500 x4
Au 0.250 0.250 0.750 x4

Properties
Its crystal system is cubic. The final energy is -4.234 eV per atom.

---

8.
VASP calculation (PBE) on a geometry-optimized Si2GeAu2 structure.

Cell: 4.241 4.241 10.394 Å, 90.00 90.00 90.00°
Space group I4/mmm (No. 139)
Unique sites:
Si 0.000 0.000 0.111 x4
Ge 0.000 0.000 0.500 x2
Au 0.000 0.500 0.250 x4

Properties
Its crystal system is tetragonal. The final energy is -4.189 eV per atom.

---

9.
VASP calculation (PBE) on a geometry-optimized Si2Ge3Au2 structure.

Cell: 4.5494 4.5494 22.4415 Å, 90.00 90.00 120.00°
Space group R3m (No. 160, hexagonal axes)
Unique sites:
Si 0.0000 0.0000 0.0000 x3
Si 0.0000 0.0000 0.4897 x3
Ge 0.0000 0.0000 0.3739 x3
Ge 0.0000 0.0000 0.6180 x3
Ge 0.0000 0.0000 0.8678 x3
Au 0.0000 0.0000 0.2325 x3
Au 0.0000 0.0000 0.7505 x3

Properties
Its crystal system is trigonal. The final energy is -4.098 eV per atom.

---

10.
VASP calculation (PBE) on a geometry-optimized SiGe2Au structure.

Cell: 6.631 6.631 6.631 Å, 90.00 90.00 90.00°
Space group F-43m (No. 216)
Unique sites:
Si 0.000 0.000 0.000 x4
Ge 0.000 0.000 0.500 x4
Ge 0.250 0.250 0.750 x4
Au 0.250 0.250 0.250 x4

Properties
Its crystal system is cubic. The final energy is -4.119 eV per atom.

---

11.
VASP calculation (PBE) on a geometry-optimized Sr2Si2GeAu structure.

Cell: 8.514 9.329 14.743 Å, 90.00 90.00 90.00°
Space group Fmmm (No. 69)
Unique sites:
Sr 0.000 0.247 0.000 x8
Sr 0.250 0.250 0.250 x8
Si 0.249 0.000 0.080 x16
Ge 0.000 0.000 0.162 x8
Au 0.000 0.000 0.337 x8

Properties
Its crystal system is orthorhombic. The final energy is -4.303 eV per atom.

---

12.
VASP calculation (PBE) on a geometry-optimized Sr2SiGe2Au structure.

Cell: 8.612 9.313 14.937 Å, 90.00 90.00 90.00°
Space group Fmmm (No. 69)
Unique sites:
Sr 0.000 0.249 0.000 x8
Sr 0.250 0.250 0.250 x8
Si 0.000 0.000 0.165 x8
Ge 0.245 0.000 0.084 x16
Au 0.000 0.000 0.329 x8

Properties
Its crystal system is orthorhombic. The final energy is -4.175 eV per atom.